Material: Mg2VMoO6
Method: DFT, PBE with a Hubbard U
State: relaxed

Cell: 4.947 5.400 5.400 Å, 90.00 90.00 90.00°
Fractional positions:
1 Mg 0.879 0.500 0.000
2 Mg 0.879 0.000 0.500
3 V 0.611 0.000 0.000
4 Mo 0.577 0.500 0.500
5 O 0.751 0.246 0.246
6 O 0.751 0.246 0.754
7 O 0.223 0.500 0.500
8 O 0.274 0.000 0.000
9 O 0.751 0.754 0.754
10 O 0.751 0.754 0.246

- Crystal system: tetragonal
- Space-group type: P4mm (99)
- Density: 3.355 g/cm³
- Volume: 14.43 Å³/atom
- E: -66.8 eV per cell